DFT (PBE+U) results for crystalline NaDyMoO4 at its relaxed geometry.

Lattice parameters (Å, degrees): 6.549 6.906 9.219 90.00 90.00 90.00
Space group Imma (No. 74)
Inequivalent atoms, fractional coordinates:
Na  0.000  0.250  0.119 (multiplicity 4)
Dy  0.000  0.000  0.500 (multiplicity 4)
Mo  0.250  0.250  0.750 (multiplicity 4)
O  0.000  0.052  0.745 (multiplicity 8)
O  0.222  0.250  0.528 (multiplicity 8)

The value obtained for the magnetic moment is 2.00 μB per formula unit. Its electronic total energy is -7.05 eV/atom.